This record from Alexandria describes Tb3Se3O after structural relaxation. The functional is PBE.

Summary:
E_form (uncorrected)	-2.10	eV/atom
total energy	-0.231	Ha/atom
density	6.29	Mg/m³

Lattice parameters (Å, degrees): 8.8152 15.2415 5.7357 90.00 90.00 90.00
With the nearest neighbours (Å) after each atom.
Space group Cmcm (No. 63)
One atom of each set of equivalent atoms:
1 Tb 0.0000 0.1898 0.2500 [4 per cell]  1 O 2.18
2 Tb 0.2144 0.4051 0.2500 [8 per cell]  1 O 2.19
3 Se 0.0000 0.1810 0.7500 [4 per cell]  4 Tb 2.84-2.87
4 Se 0.2274 0.4094 0.7500 [8 per cell]  4 Tb 2.83-2.87
5 O 0.0000 0.3331 0.2500 [4 per cell]  3 Tb 2.18-2.19